1.
The following is a PBE calculation of an optimized crystal structure of Mg2AgBr, from Alexandria via LeMat-Bulk.

Cell: 4.5860 4.5860 8.1225 Å, 61.17 61.17 46.31°
Sites, in units of the cell vectors:
Ag (0.7500, 0.7500, 0.7500)
Br (0.2500, 0.2500, 0.2500)
Mg (0.9526, 0.9526, 0.9339)
Mg (0.5474, 0.5474, 0.5661)

Summary:
- Distance to the lowest polymorph of the same formula: 0.101 eV per atom
- Space group: No. 12
- DOS at the Fermi energy: 1.02 states/eV/cell
- Energy relative to the elements, uncorrected: -0.3544 eV per atom

2.
The following is a PBE calculation of an optimized crystal structure of FeCo2Pd6, from Alexandria via LeMat-Bulk.

Cell: 3.8857 4.7252 8.0121 Å, 94.29 75.97 65.72°
Last column: magnetic moment on the atom in μB.
Sites, in units of the cell vectors:
Fe (0.0000, 0.5000, 0.5000)  3.08
Co (0.7881, 0.0239, 0.3999)  1.96
Co (0.2119, 0.9761, 0.6001)  1.96
Pd (0.8912, 0.2789, 0.9388)  0.26
Pd (0.6701, 0.8426, 0.8172)  0.29
Pd (0.3299, 0.1574, 0.1828)  0.29
Pd (0.5506, 0.5991, 0.2997)  0.35
Pd (0.4494, 0.4009, 0.7003)  0.35
Pd (0.1088, 0.7211, 0.0612)  0.26

Summary:
- Space group: No. 12
- DOS at the Fermi energy: 9.33 states/eV/cell
- Formation enthalpy at 0 K: -0.0148 eV per atom

3.
The following is a PBE calculation of an optimized crystal structure of CaZnPt2, from Alexandria via LeMat-Bulk.

Cell: 3.4966 3.4966 6.1091 Å, 90.00 90.00 90.00°
Sites, in units of the cell vectors:
Zn (0.0000, 0.0000, 0.4343)
Ca (0.5000, 0.5000, 0.7675)
Pt (0.0000, 0.0000, 0.0116)
Pt (0.5000, 0.5000, 0.2866)

Summary:
- Space group: No. 99
- DOS at the Fermi energy: 2.71 states/eV/cell
- Formation enthalpy at 0 K: -0.4204 eV per atom

4.
The following is a PBE calculation of an optimized crystal structure of NaTmHg, from Alexandria via LeMat-Bulk.

Cell: 3.6865 3.6865 6.9704 Å, 105.33 105.33 90.00°
Sites, in units of the cell vectors:
Na (0.0190, 0.0190, 0.0379)
Tm (0.2997, 0.2997, 0.5994)
Hg (0.6814, 0.6814, 0.3627)

Summary:
- Distance to the lowest polymorph of the same formula: 0.000 eV per atom
- Space group: No. 107
- DOS at the Fermi energy: 1.68 states/eV/cell
- Formation enthalpy at 0 K: -0.1034 eV per atom

5.
The following is a PBE calculation of an optimized crystal structure of BeIr3, from Alexandria via LeMat-Bulk.

Cell: 4.9261 4.9261 4.9261 Å, 116.65 116.65 116.65°
Sites, in units of the cell vectors:
Be (0.0000, 0.0000, 0.0000)
Ir (0.5000, 0.0000, 0.5000)
Ir (0.5000, 0.5000, 0.0000)
Ir (0.0000, 0.5000, 0.5000)

Summary:
- Space group: No. 166
- DOS at the Fermi energy: 5.62 states/eV/cell
- Formation enthalpy at 0 K: 0.2762 eV per atom

6.
The following is a PBE calculation of an optimized crystal structure of LiGeC2, from Alexandria via LeMat-Bulk.

Cell: 4.1817 4.1817 6.5481 Å, 71.38 71.38 90.00°
Sites, in units of the cell vectors:
Ge (0.0000, 0.0000, 0.0000)
Ge (0.7500, 0.2500, 0.5000)
C (0.7241, 0.1250, 0.2500)
C (0.0259, 0.6250, 0.2500)
C (0.3750, 0.2759, 0.7500)
C (0.8750, 0.9741, 0.7500)
Li (0.5000, 0.5000, 0.0000)
Li (0.2500, 0.7500, 0.5000)

Summary:
- Space group: No. 122
- DOS at the Fermi energy: 1.70 states/eV/cell
- Formation enthalpy at 0 K: 1.3362 eV per atom

7.
The following is a PBE calculation of an optimized crystal structure of Nd3As2, from Alexandria via LeMat-Bulk.

Cell: 7.2449 7.2449 8.0815 Å, 63.37 63.37 60.00°
Sites, in units of the cell vectors:
As (0.8374, 0.8374, 0.4878)
As (0.3374, 0.3374, 0.9878)
As (0.1626, 0.1626, 0.5122)
As (0.6626, 0.6626, 0.0122)
Nd (0.0784, 0.7500, 0.7500)
Nd (0.7500, 0.4216, 0.7500)
Nd (0.4216, 0.0784, 0.7500)
Nd (0.2500, 0.5784, 0.2500)
Nd (0.5784, 0.9216, 0.2500)
Nd (0.9216, 0.2500, 0.2500)

Summary:
- Space group: No. 167
- DOS at the Fermi energy: 10.20 states/eV/cell
- Formation enthalpy at 0 K: -1.0726 eV per atom

8.
The following is a PBE calculation of an optimized crystal structure of LaTbZr, from Alexandria via LeMat-Bulk.

Cell: 3.4302 5.4984 5.4984 Å, 120.00 90.00 90.00°
Sites, in units of the cell vectors:
Tb (0.1671, 0.0000, 0.0000)
Zr (0.1663, 0.3333, 0.6667)
La (0.6666, 0.6667, 0.3333)

Summary:
- Distance to the lowest polymorph of the same formula: 0.107 eV per atom
- Space group: No. 187
- DOS at the Fermi energy: 5.05 states/eV/cell
- Formation enthalpy at 0 K: 0.1782 eV per atom

9.
The following is a PBE calculation of an optimized crystal structure of TiAg3Pd, from Alexandria via LeMat-Bulk.

Cell: 4.9769 4.9769 4.9769 Å, 90.00 90.00 90.00°
Sites, in units of the cell vectors:
Pd (0.0000, 0.0000, 0.0000)
Ag (0.0000, 0.5000, 0.0000)
Ag (0.0000, 0.0000, 0.5000)
Ag (0.5000, 0.0000, 0.0000)
Ti (0.5000, 0.5000, 0.5000)

Summary:
- Distance to the lowest polymorph of the same formula: 0.000 eV per atom
- Space group: No. 221
- DOS at the Fermi energy: 8.67 states/eV/cell
- Formation enthalpy at 0 K: 1.0303 eV per atom

10.
The following is a PBE calculation of an optimized crystal structure of BiP2IrCl, from Alexandria via LeMat-Bulk.

Cell: 5.2851 5.2851 5.0754 Å, 90.00 90.00 90.00°
Last column: magnetic moment on the atom in μB.
Sites, in units of the cell vectors:
P (0.0000, 0.5000, 0.0000)  -0.14
P (0.5000, 0.0000, 0.0000)  -0.14
Ir (0.5000, 0.5000, 0.5000)  1.59
Bi (0.0000, 0.0000, 0.0000)  0.01
Cl (0.0000, 0.0000, 0.5000)  0.01

Summary:
- Distance to the lowest polymorph of the same formula: 1.388 eV per atom
- Space group: No. 123
- DOS at the Fermi energy: 10.16 states/eV/cell
- Energy relative to the elements, uncorrected: 1.7656 eV per atom

11.
The following is a PBE calculation of an optimized crystal structure of K2Sc2TiS6, from Alexandria via LeMat-Bulk.

Cell: 6.3821 6.3821 7.8163 Å, 98.11 98.11 119.73°
Sites, in units of the cell vectors:
K (0.8303, 0.1697, 0.0000)
K (0.1697, 0.8303, 0.0000)
Sc (0.3329, 0.6671, 0.5000)
Sc (0.6671, 0.3329, 0.5000)
Ti (0.0000, 0.0000, 0.5000)
S (0.7450, 0.7450, 0.6858)
S (0.0655, 0.3834, 0.6871)
S (0.2550, 0.2550, 0.3142)
S (0.3834, 0.0655, 0.6871)
S (0.9345, 0.6166, 0.3129)
S (0.6166, 0.9345, 0.3129)

Summary:
- Space group: No. 12
- Energy relative to the elements, uncorrected: -1.6390 eV per atom

12.
The following is a PBE calculation of an optimized crystal structure of Hf5ZrZn4, from Alexandria via LeMat-Bulk.

Cell: 3.2857 3.2857 17.6646 Å, 90.00 90.00 90.00°
Sites, in units of the cell vectors:
Hf (0.5000, 0.5000, 0.1194)
Hf (0.5000, 0.5000, 0.3116)
Hf (0.5000, 0.5000, 0.5000)
Hf (0.5000, 0.5000, 0.6884)
Hf (0.5000, 0.5000, 0.8806)
Zr (0.0000, 0.0000, 0.0000)
Zn (0.0000, 0.0000, 0.2170)
Zn (0.0000, 0.0000, 0.4061)
Zn (0.0000, 0.0000, 0.5939)
Zn (0.0000, 0.0000, 0.7830)

Summary:
- Space group: No. 123
- DOS at the Fermi energy: 5.75 states/eV/cell
- Formation enthalpy at 0 K: -0.1539 eV per atom

13.
The following is a PBE calculation of an optimized crystal structure of CeBeZn2Pt4, from Alexandria via LeMat-Bulk.

Cell: 4.3149 4.3149 8.4832 Å, 75.27 75.27 60.00°
Sites, in units of the cell vectors:
Ce (0.0000, 0.0000, 0.0000)
Be (0.5000, 0.5000, 0.5000)
Zn (0.7569, 0.7569, 0.7294)
Zn (0.2431, 0.2431, 0.2706)
Pt (0.4035, 0.4035, 0.7894)
Pt (0.8653, 0.8653, 0.4041)
Pt (0.1347, 0.1347, 0.5959)
Pt (0.5965, 0.5965, 0.2106)

Summary:
- Space group: No. 166
- DOS at the Fermi energy: 5.43 states/eV/cell
- Formation enthalpy at 0 K: -0.7151 eV per atom

14.
The following is a PBE calculation of an optimized crystal structure of CdFe, from Alexandria via LeMat-Bulk.

Cell: 5.6659 5.6659 6.1519 Å, 74.53 74.53 31.42°
Last column: magnetic moment on the atom in μB.
Sites, in units of the cell vectors:
Cd (0.9478, 0.9478, 0.0793)  -0.03
Cd (0.6576, 0.6576, 0.2180)  -0.04
Cd (0.6283, 0.6283, 0.7202)  -0.04
Fe (0.3180, 0.3180, 0.4378)  2.57
Fe (0.9576, 0.9576, 0.5533)  2.54
Fe (0.3241, 0.3241, 0.8249)  2.62

Summary:
- Space group: No. 8
- DOS at the Fermi energy: 2.77 states/eV/cell
- Formation enthalpy at 0 K: 0.2346 eV per atom

15.
The following is a PBE calculation of an optimized crystal structure of Cd2HgAu, from Alexandria via LeMat-Bulk.

Cell: 5.3694 5.3694 5.3694 Å, 131.87 131.87 70.43°
Sites, in units of the cell vectors:
Au (0.7500, 0.2500, 0.5000)
Hg (0.5000, 0.5000, 0.0000)
Cd (0.0000, 0.0000, 0.0000)
Cd (0.2500, 0.7500, 0.5000)

Summary:
- Distance to the lowest polymorph of the same formula: 0.063 eV per atom
- Space group: No. 119
- DOS at the Fermi energy: 1.49 states/eV/cell
- Formation enthalpy at 0 K: -0.0191 eV per atom

16.
The following is a PBE calculation of an optimized crystal structure of TbDyPu2Se5, from Alexandria via LeMat-Bulk.

Cell: 5.1461 5.1461 10.7905 Å, 90.00 90.00 90.00°
Last column: magnetic moment on the atom in μB.
Sites, in units of the cell vectors:
Tb (0.0000, 0.0000, 0.0000)  0.07
Dy (0.0000, 0.0000, 0.5000)  0.06
Pu (0.5000, 0.5000, 0.3092)  5.71
Pu (0.5000, 0.5000, 0.6908)  5.71
Se (0.0000, 0.5000, 0.5000)  -0.04
Se (0.5000, 0.0000, 0.5000)  -0.04
Se (0.0000, 0.0000, 0.7556)  -0.03
Se (0.0000, 0.0000, 0.2444)  -0.03
Se (0.5000, 0.5000, 0.0000)  -0.04

Summary:
- Space group: No. 123
- DOS at the Fermi energy: 32.03 states/eV/cell
- Energy relative to the elements, uncorrected: -1.1452 eV per atom

17.
The following is a PBE calculation of an optimized crystal structure of Er6CuHg2, from Alexandria via LeMat-Bulk.

Cell: 4.9637 7.0750 8.5846 Å, 114.34 106.79 90.00°
Sites, in units of the cell vectors:
Er (0.1613, 0.4049, 0.3228)
Er (0.8387, 0.0822, 0.6772)
Er (0.8387, 0.5951, 0.6772)
Er (0.5000, 0.2371, 0.0000)
Er (0.1613, 0.9178, 0.3228)
Er (0.5000, 0.7629, 0.0000)
Cu (0.0000, 0.0000, 0.0000)
Hg (0.6663, 0.6665, 0.3330)
Hg (0.3337, 0.3335, 0.6670)

Summary:
- Space group: No. 71
- DOS at the Fermi energy: 11.07 states/eV/cell
- Formation enthalpy at 0 K: -0.0612 eV per atom

18.
The following is a PBE calculation of an optimized crystal structure of SmTiZnIn, from Alexandria via LeMat-Bulk.

Cell: 4.9763 4.9763 4.9763 Å, 60.00 60.00 60.00°
Sites, in units of the cell vectors:
Zn (0.2500, 0.2500, 0.2500)
Ti (0.0000, 0.0000, 0.0000)
Sm (0.5000, 0.5000, 0.5000)
In (0.7500, 0.7500, 0.7500)

Summary:
- Space group: No. 216
- DOS at the Fermi energy: 1.70 states/eV/cell
- Formation enthalpy at 0 K: -0.1434 eV per atom

19.
The following is a PBE calculation of an optimized crystal structure of TaCo2Tc2, from Alexandria via LeMat-Bulk.

Cell: 7.2302 7.2302 2.6438 Å, 90.00 90.00 90.00°
Sites, in units of the cell vectors:
Co (0.1710, 0.6710, 0.5000)
Co (0.6710, 0.8290, 0.5000)
Co (0.8290, 0.3290, 0.5000)
Co (0.3290, 0.1710, 0.5000)
Tc (0.3749, 0.8749, 0.0000)
Tc (0.8749, 0.6251, 0.0000)
Tc (0.6251, 0.1251, 0.0000)
Tc (0.1251, 0.3749, 0.0000)
Ta (0.0000, 0.0000, 0.0000)
Ta (0.5000, 0.5000, 0.0000)

Summary:
- Distance to the lowest polymorph of the same formula: 0.091 eV per atom
- Space group: No. 127
- DOS at the Fermi energy: 15.01 states/eV/cell
- Formation enthalpy at 0 K: 0.1156 eV per atom

20.
The following is a PBE calculation of an optimized crystal structure of MnAlCuRe, from Alexandria via LeMat-Bulk.

Cell: 4.1744 4.1744 4.1744 Å, 60.00 60.00 60.00°
Sites, in units of the cell vectors:
Re (0.7500, 0.7500, 0.7500)
Mn (0.0000, 0.0000, 0.0000)
Al (0.5000, 0.5000, 0.5000)
Cu (0.2500, 0.2500, 0.2500)

Summary:
- Space group: No. 216
- DOS at the Fermi energy: 0.65 states/eV/cell
- Formation enthalpy at 0 K: -0.0083 eV per atom